DFT (PBE) results for a geometry-optimized PmDy8Ho2 structure.

CIF file:
```
data_PmDy8Ho2
_cell_length_a 19.074
_cell_length_b 6.921
_cell_length_c 5.533
_cell_angle_alpha 90.00
_cell_angle_beta 92.95
_cell_angle_gamma 90.00
_symmetry_space_group_name_H-M 'C 1 2/m 1'
_symmetry_Int_Tables_number 12
loop_
_symmetry_equiv_pos_as_xyz
'x,y,z'
'-x,-y,-z'
'-x,y,-z'
'x,-y,z'
'x+1/2,y+1/2,z'
'-x+1/2,-y+1/2,-z'
'-x+1/2,y+1/2,-z'
'x+1/2,-y+1/2,z'
loop_
_atom_site_label
_atom_site_fract_x
_atom_site_fract_y
_atom_site_fract_z
_atom_site_occupancy
Pm1 0.000 0.000 0.000 1
Dy1 0.047 0.500 0.237 1
Dy2 0.133 0.266 0.732 1
Dy3 0.188 0.000 0.233 1
Ho1 0.216 0.500 0.251 1
```

Values from the calculation:
As for the excess energy over the best structure of this formula in the dataset: 39 meV per atom. The calculation puts the size of the total moment at 0.00 μB per formula unit. As for the mass density: 8.08 Mg/m³. The density of states at the Fermi level comes out at 18.03 states/eV/f.u. For the formation energy, the calculation gives 0.153 eV per atom.